(1)
DFT (PBE) results for Nd2HoSb after structural relaxation.

Summary:
As for the space group: P4/mmm (123). The energy above the most stable polymorph in this dataset comes out at 0.000 eV per atom.

```
Nd2HoSb
1.0
-4.080 2.498 -1.169
-2.406 -4.184 -0.544
-1.269 0.121 4.687
Sb Ho Nd
1 1 2
direct
0.500 0.000 0.000
0.500 0.500 0.500
0.000 0.000 0.500
0.000 0.500 0.000
```

(2)
DFT (PBE) results for Nd2Ho5Sb4 after structural relaxation.

Summary:
The total DFT energy (no corrections) is -4.86 eV/atom. As for the space group: C2/m (12).

```
Nd2Ho5Sb4
1.0
4.286 0.000 0.000
0.000 6.897 -1.575
-2.143 -5.298 14.027
Ho Sb Nd
5 4 2
direct
0.179 0.826 0.357
0.830 0.686 0.659
0.170 0.314 0.341
0.821 0.174 0.643
0.500 0.000 0.000
0.274 0.317 0.548
0.070 0.354 0.141
0.930 0.646 0.859
0.726 0.683 0.452
0.945 0.231 0.890
0.055 0.769 0.110
```

(3)
DFT (PBE) results for NdHo2Sb2 after structural relaxation.

Summary:
The total DFT energy (no corrections) is -5.11 eV/atom. As for the space group: C2/m (12).

```
NdHo2Sb2
1.0
-1.023 -1.287 4.206
-1.276 -4.036 -1.573
7.880 0.203 -0.441
Sb Ho Nd
2 2 1
direct
0.603 0.603 0.209
0.397 0.397 0.791
0.249 0.751 0.500
0.751 0.249 0.500
0.000 0.000 0.000
```

(4)
DFT (PBE) results for NdHoSb after structural relaxation.

Summary:
The total DFT energy (no corrections) is -4.90 eV/atom. As for the space group: Immm (71).

```
NdHoSb
1.0
5.890 0.000 0.000
0.000 3.445 0.000
-2.945 -1.723 9.071
Sb Nd Ho
2 2 2
direct
0.846 0.346 0.691
0.154 0.654 0.309
0.670 0.170 0.341
0.330 0.830 0.659
0.253 0.500 0.000
0.747 0.500 0.000
```

(5)
DFT (PBE) results for Nd5Ho2Sb4 after structural relaxation.

Summary:
The total DFT energy (no corrections) is -4.98 eV/atom. As for the space group: C2/m (12).

```
Nd5Ho2Sb4
1.0
4.089 0.000 0.000
0.000 7.256 0.427
-2.044 -0.720 12.916
Nd Sb Ho
5 4 2
direct
0.768 0.756 0.536
0.142 0.820 0.284
0.858 0.180 0.716
0.500 0.000 0.000
0.232 0.244 0.464
0.029 0.690 0.059
0.331 0.505 0.663
0.971 0.310 0.941
0.669 0.495 0.337
0.910 0.678 0.819
0.090 0.322 0.181
```

(6)
DFT (PBE) results for Nd3Ho5Sb8 after structural relaxation.

Summary:
The total DFT energy (no corrections) is -5.52 eV/atom. As for the space group: R-3m (166).

```
Nd3Ho5Sb8
1.0
7.688 0.000 4.404
2.583 7.241 4.404
0.034 0.024 8.854
Ho Nd Sb
5 3 8
direct
0.500 0.000 0.000
0.000 0.500 0.000
0.500 0.500 0.500
0.000 0.000 0.000
0.500 0.500 0.000
0.000 0.000 0.500
0.000 0.500 0.500
0.500 0.000 0.500
0.750 0.750 0.243
0.257 0.750 0.243
0.743 0.250 0.757
0.250 0.743 0.757
0.747 0.747 0.760
0.253 0.253 0.240
0.750 0.257 0.243
0.250 0.250 0.757
```

(7)
DFT (PBE) results for NdHo3Sb3 after structural relaxation.

Summary:
As for the space group: P2_13 (198). The energy above the most stable polymorph in this dataset comes out at 0.000 eV per atom.

```
NdHo3Sb3
1.0
9.248 0.000 0.000
0.000 9.248 0.000
0.000 0.000 9.248
Nd Ho Sb
4 12 12
direct
0.070 0.570 0.930
0.930 0.070 0.570
0.430 0.430 0.430
0.570 0.930 0.070
0.680 0.680 0.680
0.320 0.180 0.820
0.577 0.077 0.423
0.322 0.822 0.678
0.423 0.577 0.077
0.077 0.423 0.577
0.822 0.678 0.322
0.820 0.320 0.180
0.180 0.820 0.320
0.678 0.322 0.822
0.923 0.923 0.923
0.178 0.178 0.178
0.998 0.243 0.879
0.757 0.379 0.502
0.498 0.257 0.121
0.243 0.879 0.998
0.879 0.998 0.243
0.621 0.002 0.743
0.379 0.502 0.757
0.743 0.621 0.002
0.502 0.757 0.379
0.121 0.498 0.257
0.257 0.121 0.498
0.002 0.743 0.621
```

(8)
DFT (PBE) results for Nd5Ho3Sb8 after structural relaxation.

Summary:
The total DFT energy (no corrections) is -5.56 eV/atom. As for the space group: R-3m (166).

```
Nd5Ho3Sb8
1.0
7.756 0.000 4.443
2.606 7.305 4.443
0.034 0.024 8.933
Sb Nd Ho
8 5 3
direct
0.750 0.750 0.257
0.247 0.247 0.260
0.250 0.250 0.743
0.753 0.753 0.740
0.250 0.757 0.743
0.757 0.250 0.743
0.750 0.243 0.257
0.243 0.750 0.257
0.500 0.500 0.500
0.000 0.000 0.000
0.500 0.000 0.000
0.000 0.500 0.000
0.500 0.500 0.000
0.000 0.500 0.500
0.000 0.000 0.500
0.500 0.000 0.500
```

(9)
DFT (PBE) results for Nd3HoSb3 after structural relaxation.

Summary:
As for the space group: P2_13 (198). The energy above the most stable polymorph in this dataset comes out at 0.000 eV per atom.

```
Nd3HoSb3
1.0
-4.751 6.028 5.480
-7.265 -6.005 0.307
3.686 -4.067 7.669
Sb Ho Nd
12 4 12
direct
0.628 0.998 0.756
0.256 0.872 0.002
0.744 0.372 0.498
0.502 0.244 0.128
0.372 0.498 0.744
0.872 0.002 0.256
0.498 0.744 0.372
0.244 0.128 0.502
0.002 0.256 0.872
0.128 0.502 0.244
0.756 0.628 0.998
0.998 0.756 0.628
0.072 0.572 0.928
0.428 0.428 0.428
0.572 0.928 0.072
0.928 0.072 0.572
0.179 0.179 0.179
0.933 0.933 0.933
0.823 0.323 0.177
0.677 0.677 0.677
0.323 0.177 0.823
0.821 0.679 0.321
0.433 0.567 0.067
0.679 0.321 0.821
0.321 0.821 0.679
0.177 0.823 0.323
0.567 0.067 0.433
0.067 0.433 0.567
```

(10)
DFT (PBE) results for Nd2HoSb after structural relaxation.

Summary:
As for the space group: Fm-3m (225). The energy above the most stable polymorph in this dataset comes out at 0.212 eV per atom.

```
Nd2HoSb
1.0
-2.491 3.529 3.433
-1.874 -1.759 4.883
2.521 1.569 4.650
Ho Nd Sb
1 2 1
direct
0.000 0.000 0.000
0.250 0.250 0.250
0.750 0.750 0.750
0.500 0.500 0.500
```

(11)
DFT (PBE) results for Nd2Ho3Sb2 after structural relaxation.

Summary:
The total DFT energy (no corrections) is -5.15 eV/atom. As for the space group: C2/m (12).

```
Nd2Ho3Sb2
1.0
-1.223 3.567 2.068
-5.084 -3.957 -0.653
4.603 -2.441 6.934
Ho Sb Nd
3 2 2
direct
0.374 0.749 0.553
0.500 0.000 0.000
0.626 0.251 0.447
0.832 0.664 0.797
0.168 0.336 0.203
0.135 0.269 0.793
0.865 0.731 0.207
```